(1)
This record from Alexandria via LeMat-Bulk describes an optimized crystal structure of K3Nd2BiO6. The functional is PBE.

a = 6.2916 Å, b = 6.2916 Å, c = 6.6543 Å
α = 99.06°, β = 99.06°, γ = 119.99°
With the nearest neighbours (Å) after each atom.
Sites, in units of the cell vectors:
1 K 0.0000 0.0000 0.0000  6 O 2.83-2.86
2 K 0.3363 0.6637 0.0000  6 O 2.84-2.86
3 K 0.6637 0.3363 0.0000  6 O 2.84-2.86
4 Nd 0.1668 0.8332 0.5000  6 O 2.42
5 Nd 0.8332 0.1668 0.5000  6 O 2.42
6 Bi 0.5000 0.5000 0.5000  6 O 2.46
7 O 0.0971 0.4350 0.3049  2 Nd 2.42, 1 Bi 2.46
8 O 0.2271 0.2271 0.6950  2 Nd 2.42, 1 Bi 2.46
9 O 0.4350 0.0971 0.3049  2 Nd 2.42, 1 Bi 2.46
10 O 0.5650 0.9029 0.6951  2 Nd 2.42, 1 Bi 2.46
11 O 0.7729 0.7729 0.3050  2 Nd 2.42, 1 Bi 2.46
12 O 0.9029 0.5650 0.6951  2 Nd 2.42, 1 Bi 2.46

- Formation energy (no corrections): -2.194 eV per atom
- Spin magnetization: 0.0 μB/cell



(2)
This record from Alexandria via LeMat-Bulk describes an optimized crystal structure of Na2HgTeH. The functional is PBE.

a = 5.0463 Å, b = 5.0463 Å, c = 4.2167 Å
α = 90.00°, β = 90.00°, γ = 90.00°
With the nearest neighbours (Å) after each atom.
Sites, in units of the cell vectors:
1 Na 0.0000 0.5000 0.0000  2 H 2.52
2 Na 0.5000 0.0000 0.0000  2 H 2.52
3 Hg 0.0000 0.0000 0.5000  2 H 2.11
4 Te 0.5000 0.5000 0.5000  8 Na 3.29, 4 Hg 3.57
5 H 0.0000 0.0000 0.0000  2 Hg 2.11

- Spin magnetization: 0.0 μB/cell



(3)
This record from Alexandria via LeMat-Bulk describes an optimized crystal structure of CoTc2Ru. The functional is PBE.

a = 2.6857 Å, b = 3.7491 Å, c = 5.3312 Å
α = 90.00°, β = 90.00°, γ = 90.00°
With the nearest neighbours (Å) after each atom.
Sites, in units of the cell vectors:
1 Co 0.0000 0.0000 0.0000  8 Tc 2.63, 2 Ru 2.67, 2 Co 2.69
2 Tc 0.5000 0.5000 0.2369  4 Tc 2.53-2.81, 4 Co 2.63, 4 Ru 2.70
3 Tc 0.5000 0.5000 0.7631  4 Tc 2.53-2.81, 4 Co 2.63, 4 Ru 2.70
4 Ru 0.0000 0.0000 0.5000  2 Co 2.67, 2 Ru 2.69, 8 Tc 2.70

- DFT formation energy: 0.241 eV per formula unit
- Spin magnetization: 0.3 μB/cell



(4)
This record from Alexandria via LeMat-Bulk describes an optimized crystal structure of Ac2Nd3Tl. The functional is PBE.

a = 8.4658 Å, b = 8.4658 Å, c = 5.1216 Å
α = 90.00°, β = 90.00°, γ = 144.45°
With the nearest neighbours (Å) after each atom.
Sites, in units of the cell vectors:
1 Ac 0.1633 0.8367 0.0000  8 Nd 3.64-3.86, 2 Tl 3.69, 2 Ac 3.81
2 Ac 0.8367 0.1633 0.0000  8 Nd 3.64-3.86, 2 Tl 3.69, 2 Ac 3.81
3 Nd 0.0000 0.0000 0.5000  4 Nd 3.63, 4 Tl 3.64, 4 Ac 3.67
4 Nd 0.3422 0.6578 0.5000  2 Tl 3.61, 4 Nd 3.63-3.94, 6 Ac 3.64-3.86
5 Nd 0.6578 0.3422 0.5000  2 Tl 3.61, 4 Nd 3.63-3.94, 6 Ac 3.64-3.86
6 Tl 0.5000 0.5000 0.0000  8 Nd 3.61-3.64, 4 Ac 3.69

- DFT formation energy: -0.439 eV per formula unit
- Spin magnetization: 0.0 μB/cell



(5)
This record from Alexandria via LeMat-Bulk describes an optimized crystal structure of Ac2ErTmO6. The functional is PBE.

a = 5.9950 Å, b = 6.1474 Å, c = 10.4695 Å
α = 90.00°, β = 124.91°, γ = 90.00°
With the nearest neighbours (Å) after each atom.
Sites, in units of the cell vectors:
1 Ac 0.2369 0.0460 0.2500  4 O 2.48-2.62
2 Ac 0.2369 0.4540 0.7500  4 O 2.48-2.62
3 Ac 0.7631 0.5460 0.2500  4 O 2.48-2.62
4 Ac 0.7631 0.9540 0.7500  4 O 2.48-2.62
5 Er 0.5000 0.0000 0.0000  6 O 2.25-2.27
6 Er 0.5000 0.5000 0.5000  6 O 2.25-2.27
7 Tm 0.0000 0.0000 0.5000  6 O 2.23-2.26
8 Tm 0.0000 0.5000 0.0000  6 O 2.23-2.26
9 O 0.1402 0.2019 0.9406  1 Er 2.25, 1 Tm 2.25, 1 Ac 2.50
10 O 0.1402 0.2981 0.4406  1 Er 2.25, 1 Tm 2.25, 1 Ac 2.50
11 O 0.2396 0.7005 0.9409  1 Tm 2.23, 1 Er 2.26, 1 Ac 2.50
12 O 0.2396 0.7995 0.4409  1 Tm 2.23, 1 Er 2.26, 1 Ac 2.50
13 O 0.3592 0.0446 0.7491  1 Tm 2.26, 1 Er 2.27, 1 Ac 2.48
14 O 0.3592 0.4554 0.2491  1 Tm 2.26, 1 Er 2.27, 1 Ac 2.48
15 O 0.6408 0.5446 0.7509  1 Tm 2.26, 1 Er 2.27, 1 Ac 2.48
16 O 0.6408 0.9554 0.2509  1 Tm 2.26, 1 Er 2.27, 1 Ac 2.48
17 O 0.7604 0.2005 0.5591  1 Tm 2.23, 1 Er 2.26, 1 Ac 2.50
18 O 0.7604 0.2995 0.0591  1 Tm 2.23, 1 Er 2.26, 1 Ac 2.50
19 O 0.8598 0.7019 0.5594  1 Er 2.25, 1 Tm 2.25, 1 Ac 2.50
20 O 0.8598 0.7981 0.0594  1 Er 2.25, 1 Tm 2.25, 1 Ac 2.50

- Formation energy (no corrections): -3.503 eV per atom
- Spin magnetization: 0.0 μB/cell



(6)
This record from Alexandria via LeMat-Bulk describes an optimized crystal structure of TeIrRh2. The functional is PBE.

a = 4.7695 Å, b = 4.7695 Å, c = 3.0004 Å
α = 90.00°, β = 90.00°, γ = 108.96°
With the nearest neighbours (Å) after each atom.
Sites, in units of the cell vectors:
1 Te 0.0000 0.0000 0.0000  2 Ir 2.77, 8 Rh 2.82, 2 Te 3.00
2 Ir 0.5000 0.5000 0.0000  2 Te 2.77, 8 Rh 2.82, 2 Ir 3.00
3 Rh 0.0000 0.5000 0.5000  4 Rh 2.77-3.00, 4 Ir 2.82, 4 Te 2.82
4 Rh 0.5000 0.0000 0.5000  4 Rh 2.77-3.00, 4 Ir 2.82, 4 Te 2.82

- Formation energy (no corrections): 0.161 eV per atom
- Spin magnetization: 0.0 μB/cell



(7)
This record from Alexandria via LeMat-Bulk describes an optimized crystal structure of KRbEuPb. The functional is PBE.

a = 6.1150 Å, b = 6.1150 Å, c = 6.1150 Å
α = 60.00°, β = 60.00°, γ = 60.00°
With the nearest neighbours (Å) after each atom.
Sites, in units of the cell vectors:
1 K 0.0000 0.0000 0.0000  4 Pb 3.74, 4 Rb 3.74
2 Rb 0.7500 0.7500 0.7500  4 K 3.74, 4 Eu 3.74
3 Eu 0.5000 0.5000 0.5000  4 Rb 3.74, 4 Pb 3.74
4 Pb 0.2500 0.2500 0.2500  4 Eu 3.74, 4 K 3.74

- DFT formation energy: -0.362 eV per formula unit
- Spin magnetization: 7.0 μB/cell



(8)
This record from Alexandria via LeMat-Bulk describes an optimized crystal structure of NpH6Ru3. The functional is PBE.

a = 5.3332 Å, b = 5.3332 Å, c = 5.3332 Å
α = 53.56°, β = 53.56°, γ = 53.56°
With the nearest neighbours (Å) after each atom.
Sites, in units of the cell vectors:
1 Np 0.0000 0.0000 0.0000  9 H 2.41-2.48, 1 Ru 2.43
2 H 0.1820 0.4421 0.7728  3 Ru 1.81-1.95
3 H 0.4421 0.7728 0.1820  3 Ru 1.81-1.95
4 H 0.4596 0.9689 0.4731  2 Ru 1.79-1.83
5 H 0.4731 0.4596 0.9689  2 Ru 1.79-1.83
6 H 0.7728 0.1820 0.4421  3 Ru 1.81-1.95
7 H 0.9689 0.4731 0.4596  2 Ru 1.79-1.83
8 Ru 0.2121 0.2121 0.2121  6 H 1.83-1.95
9 Ru 0.5520 0.5520 0.5520  6 H 1.79-1.85
10 Ru 0.8224 0.8224 0.8224  3 H 1.81

- Spin magnetization: 2.9 μB/cell



(9)
This record from Alexandria via LeMat-Bulk describes an optimized crystal structure of TbCd7Hg12. The functional is PBE.

a = 8.5407 Å, b = 8.5407 Å, c = 8.5407 Å
α = 107.79°, β = 107.79°, γ = 107.79°
With the nearest neighbours (Å) after each atom.
Sites, in units of the cell vectors:
1 Tb 0.0000 0.0000 0.0000  6 Hg 3.17, 6 Cd 3.30
2 Cd 0.0388 0.6859 0.1360  5 Hg 3.00-3.23, 1 Cd 3.03, 1 Tb 3.30
3 Cd 0.1360 0.0388 0.6859  5 Hg 3.00-3.23, 1 Cd 3.03, 1 Tb 3.30
4 Cd 0.3141 0.8640 0.9612  5 Hg 3.00-3.23, 1 Cd 3.03, 1 Tb 3.30
5 Cd 0.5000 0.5000 0.5000  12 Hg 3.09-3.41
6 Cd 0.6859 0.1360 0.0388  5 Hg 3.00-3.23, 1 Cd 3.03, 1 Tb 3.30
7 Cd 0.8640 0.9612 0.3141  5 Hg 3.00-3.23, 1 Cd 3.03, 1 Tb 3.30
8 Cd 0.9612 0.3141 0.8640  5 Hg 3.00-3.23, 1 Cd 3.03, 1 Tb 3.30
9 Hg 0.0893 0.3918 0.2851  4 Cd 3.04-3.23, 3 Hg 3.11-3.28, 1 Tb 3.17
10 Hg 0.1942 0.4272 0.6806  2 Cd 3.00-3.22, 3 Hg 3.11-3.28
11 Hg 0.2851 0.0893 0.3918  4 Cd 3.04-3.23, 3 Hg 3.11-3.28, 1 Tb 3.17
12 Hg 0.3194 0.8058 0.5728  2 Cd 3.00-3.22, 3 Hg 3.11-3.28
13 Hg 0.3918 0.2851 0.0893  4 Cd 3.04-3.23, 3 Hg 3.11-3.28, 1 Tb 3.17
14 Hg 0.4272 0.6806 0.1942  2 Cd 3.00-3.22, 3 Hg 3.11-3.28
15 Hg 0.5728 0.3194 0.8058  2 Cd 3.00-3.22, 3 Hg 3.11-3.28
16 Hg 0.6082 0.7149 0.9107  4 Cd 3.04-3.23, 3 Hg 3.11-3.28, 1 Tb 3.17
17 Hg 0.6806 0.1942 0.4272  2 Cd 3.00-3.22, 3 Hg 3.11-3.28
18 Hg 0.7149 0.9107 0.6082  4 Cd 3.04-3.23, 3 Hg 3.11-3.28, 1 Tb 3.17
19 Hg 0.8058 0.5728 0.3194  2 Cd 3.00-3.22, 3 Hg 3.11-3.28
20 Hg 0.9107 0.6082 0.7149  4 Cd 3.04-3.23, 3 Hg 3.11-3.28, 1 Tb 3.17

- DFT formation energy: -0.567 eV per formula unit
- Spin magnetization: 0.0 μB/cell



(10)
This record from Alexandria via LeMat-Bulk describes an optimized crystal structure of CaGa3Cu6. The functional is PBE.

a = 6.4371 Å, b = 6.6283 Å, c = 8.2380 Å
α = 90.00°, β = 120.19°, γ = 90.00°
With the nearest neighbours (Å) after each atom.
Sites, in units of the cell vectors:
1 Ca 0.0000 0.0000 0.0000  8 Cu 2.95-3.29, 6 Ga 3.02-3.22
2 Ca 0.0000 0.5000 0.5000  8 Cu 2.95-3.29, 6 Ga 3.02-3.22
3 Ga 0.2439 0.1562 0.4193  5 Cu 2.42-2.61, 1 Ga 2.69
4 Ga 0.2439 0.3438 0.9193  5 Cu 2.42-2.61, 1 Ga 2.69
5 Ga 0.5000 0.0000 0.0000  8 Cu 2.46-2.73, 2 Ga 2.69
6 Ga 0.5000 0.5000 0.5000  8 Cu 2.46-2.73, 2 Ga 2.69
7 Ga 0.7561 0.6562 0.0807  5 Cu 2.42-2.61, 1 Ga 2.69
8 Ga 0.7561 0.8438 0.5807  5 Cu 2.42-2.61, 1 Ga 2.69
9 Cu 0.1492 0.0299 0.6728  4 Ga 2.51-2.75, 5 Cu 2.54-2.61
10 Cu 0.1492 0.4701 0.1728  4 Ga 2.51-2.75, 5 Cu 2.54-2.61
11 Cu 0.2336 0.7049 0.8752  2 Ga 2.42-2.46, 4 Cu 2.57-2.61
12 Cu 0.2336 0.7951 0.3752  2 Ga 2.42-2.46, 4 Cu 2.57-2.61
13 Cu 0.4961 0.2106 0.2632  4 Ga 2.55-2.73, 4 Cu 2.58-2.61
14 Cu 0.4961 0.2894 0.7632  4 Ga 2.55-2.73, 4 Cu 2.58-2.61
15 Cu 0.5039 0.7106 0.2368  4 Ga 2.55-2.73, 4 Cu 2.58-2.61
16 Cu 0.5039 0.7894 0.7368  4 Ga 2.55-2.73, 4 Cu 2.58-2.61
17 Cu 0.7664 0.2049 0.6248  2 Ga 2.42-2.46, 4 Cu 2.57-2.61
18 Cu 0.7664 0.2951 0.1248  2 Ga 2.42-2.46, 4 Cu 2.57-2.61
19 Cu 0.8508 0.5299 0.8272  4 Ga 2.51-2.75, 5 Cu 2.54-2.61
20 Cu 0.8508 0.9701 0.3272  4 Ga 2.51-2.75, 5 Cu 2.54-2.61

- DFT formation energy: -1.275 eV per formula unit
- Spin magnetization: 0.0 μB/cell



(11)
This record from Alexandria via LeMat-Bulk describes an optimized crystal structure of LiTmAs2O6. The functional is PBE.

a = 6.6642 Å, b = 6.6642 Å, c = 6.8410 Å
α = 113.33°, β = 113.33°, γ = 73.84°
With the nearest neighbours (Å) after each atom.
Sites, in units of the cell vectors:
1 Li 0.2222 0.7778 0.7500  4 O 1.95-2.00
2 Li 0.7778 0.2222 0.2500  4 O 1.95-2.00
3 Tm 0.1711 0.8289 0.2500  6 O 2.28-2.44
4 Tm 0.8289 0.1711 0.7500  6 O 2.28-2.44
5 As 0.2745 0.3318 0.3038  3 O 1.74-1.82
6 As 0.3318 0.2745 0.8038  3 O 1.74-1.82
7 As 0.6682 0.7255 0.1962  3 O 1.74-1.82
8 As 0.7255 0.6682 0.6962  3 O 1.74-1.82
9 O 0.0554 0.1768 0.1817  1 As 1.76
10 O 0.1768 0.0554 0.6817  1 As 1.76
11 O 0.1800 0.6052 0.4345  1 As 1.74, 1 Li 1.95
12 O 0.2383 0.4358 0.0451  1 As 1.82
13 O 0.3948 0.8200 0.0655  1 As 1.74, 1 Li 1.95
14 O 0.4358 0.2383 0.5451  1 As 1.82
15 O 0.5642 0.7617 0.4549  1 As 1.82
16 O 0.6052 0.1800 0.9345  1 As 1.74, 1 Li 1.95
17 O 0.7617 0.5642 0.9549  1 As 1.82
18 O 0.8200 0.3948 0.5655  1 As 1.74, 1 Li 1.95
19 O 0.8232 0.9446 0.3183  1 As 1.76
20 O 0.9446 0.8232 0.8183  1 As 1.76

- Formation energy (no corrections): -1.850 eV per atom
- Spin magnetization: 0.0 μB/cell



(12)
This record from Alexandria via LeMat-Bulk describes an optimized crystal structure of CeZnHgRh. The functional is PBE.

a = 4.8388 Å, b = 4.8388 Å, c = 4.8388 Å
α = 60.00°, β = 60.00°, γ = 60.00°
With the nearest neighbours (Å) after each atom.
Sites, in units of the cell vectors:
1 Ce 0.0000 0.0000 0.0000  4 Rh 2.96, 4 Zn 2.96
2 Zn 0.2500 0.2500 0.2500  4 Hg 2.96, 4 Ce 2.96
3 Hg 0.5000 0.5000 0.5000  4 Rh 2.96, 4 Zn 2.96
4 Rh 0.7500 0.7500 0.7500  4 Hg 2.96, 4 Ce 2.96

- DFT formation energy: -1.164 eV per formula unit
- Spin magnetization: 0.0 μB/cell



For the records above, the corresponding electronic total energy values read -6.07 -2.27 -9.22 -4.22 -8.20 -6.52 -4.10 -6.12 -0.76 -3.69 -6.39 -4.01 eV per atom.